(1)
# Dy5ZnAg4 | Alexandria via LeMat-Bulk | PBE | optimized geometry
# E_form   -32 kJ per mole of atoms
# Total energy   -3.9007 eV/atom
# Crystal system   tetragonal
data_Dy5ZnAg4
_cell_length_a 3.602
_cell_length_b 3.602
_cell_length_c 18.259
_cell_angle_alpha 90.00
_cell_angle_beta 90.00
_cell_angle_gamma 90.00
_symmetry_space_group_name_H-M 'P 4/m m m'
_symmetry_Int_Tables_number 123
_symmetry_space_group_name_Hall '-P 4 2'
loop_
_atom_site_label
_atom_site_fract_x
_atom_site_fract_y
_atom_site_fract_z
Dy1 0.000 0.000 0.000
Dy2 0.000 0.000 0.202
Dy3 0.000 0.000 0.404
Zn1 0.500 0.500 0.500
Ag1 0.500 0.500 0.101
Ag2 0.500 0.500 0.304


(2)
# Nd2Ho2Sc7 | Alexandria via LeMat-Bulk | PBE | optimized geometry
# E_form   17 kJ per mole of atoms
# Total energy   -5.5547 eV/atom
# Crystal system   monoclinic
data_Nd2Ho2Sc7
_cell_length_a 10.701
_cell_length_b 10.851
_cell_length_c 5.764
_cell_angle_alpha 90.00
_cell_angle_beta 113.45
_cell_angle_gamma 90.00
_symmetry_space_group_name_H-M 'C 1 2/m 1'
_symmetry_Int_Tables_number 12
_symmetry_space_group_name_Hall '-C 2y'
loop_
_atom_site_label
_atom_site_fract_x
_atom_site_fract_y
_atom_site_fract_z
Nd1 0.240 0.000 0.092
Ho1 0.000 0.223 0.000
Sc1 0.000 0.000 0.500
Sc2 0.095 0.500 0.306
Sc3 0.168 0.232 0.655


(3)
# La3CoSn | Alexandria via LeMat-Bulk | PBE | optimized geometry
# Polymorph energy (0 for the lowest one)   0.196 eV/atom
# E_form   -24 kJ per mole of atoms
# Total energy   -5.4303 eV/atom
# Crystal system   trigonal
data_La3CoSn
_cell_length_a 7.1104
_cell_length_b 7.1104
_cell_length_c 20.2357
_cell_angle_alpha 90.00
_cell_angle_beta 90.00
_cell_angle_gamma 120.00
_symmetry_space_group_name_H-M 'R -3'
_symmetry_Int_Tables_number 148
_symmetry_space_group_name_Hall '-R 3'
loop_
_atom_site_label
_atom_site_fract_x
_atom_site_fract_y
_atom_site_fract_z
La1 0.0020 0.4990 0.2488
Co1 0.0000 0.0000 0.1558
Sn1 0.0000 0.0000 0.2809


(4)
# Li2InAs | Alexandria via LeMat-Bulk | PBE | optimized geometry
# E_form   -34 kJ per mole of atoms
# Total energy   -3.1521 eV/atom
# Crystal system   orthorhombic
data_Li2InAs
_cell_length_a 4.126
_cell_length_b 4.130
_cell_length_c 8.773
_cell_angle_alpha 90.00
_cell_angle_beta 90.00
_cell_angle_gamma 90.00
_symmetry_space_group_name_H-M 'I m m 2'
_symmetry_Int_Tables_number 44
_symmetry_space_group_name_Hall 'I 2 -2'
loop_
_atom_site_label
_atom_site_fract_x
_atom_site_fract_y
_atom_site_fract_z
Li1 0.000 0.000 0.000
Li2 0.000 0.500 0.249
In1 0.000 0.000 0.499
As1 0.000 0.500 0.749


(5)
# Ac5Pb2N2 | Alexandria via LeMat-Bulk | PBE | optimized geometry
# ΔE_f (raw)   -0.760 eV/atom
# Total energy   -5.7169 eV/atom
# Crystal system   tetragonal
data_Ac5Pb2N2
_cell_length_a 5.250
_cell_length_b 5.250
_cell_length_c 10.539
_cell_angle_alpha 90.00
_cell_angle_beta 90.00
_cell_angle_gamma 90.00
_symmetry_space_group_name_H-M 'P 4/m m m'
_symmetry_Int_Tables_number 123
_symmetry_space_group_name_Hall '-P 4 2'
loop_
_atom_site_label
_atom_site_fract_x
_atom_site_fract_y
_atom_site_fract_z
Ac1 0.000 0.000 0.000
Ac2 0.000 0.500 0.283
Pb1 0.500 0.500 0.000
Pb2 0.500 0.500 0.500
N1 0.000 0.000 0.240


(6)
# La3Sm3Ga4 | Alexandria via LeMat-Bulk | PBE | optimized geometry
# E_form   -46 kJ per mole of atoms
# Total energy   -4.5831 eV/atom
# Crystal system   orthorhombic
data_La3Sm3Ga4
_cell_length_a 4.515
_cell_length_b 11.078
_cell_length_c 11.237
_cell_angle_alpha 90.00
_cell_angle_beta 90.00
_cell_angle_gamma 90.00
_symmetry_space_group_name_H-M 'A m m 2'
_symmetry_Int_Tables_number 38
_symmetry_space_group_name_Hall 'A 2 -2'
loop_
_atom_site_label
_atom_site_fract_x
_atom_site_fract_y
_atom_site_fract_z
La1 0.000 0.000 0.000
La2 0.500 0.246 0.078
Sm1 0.000 0.000 0.652
Sm2 0.000 0.174 0.330
Ga1 0.500 0.000 0.219
Ga2 0.500 0.000 0.449
Ga3 0.500 0.118 0.824


(7)
# BeCu2 | Alexandria via LeMat-Bulk | PBE | optimized geometry
# E_form   0 kJ per mole of atoms
# Total energy   -3.9725 eV/atom
# Crystal system   trigonal
data_BeCu2
_cell_length_a 2.5155
_cell_length_b 2.5155
_cell_length_c 17.6268
_cell_angle_alpha 90.00
_cell_angle_beta 90.00
_cell_angle_gamma 120.00
_symmetry_space_group_name_H-M 'R -3 m'
_symmetry_Int_Tables_number 166
_symmetry_space_group_name_Hall '-R 3 2"'
loop_
_atom_site_label
_atom_site_fract_x
_atom_site_fract_y
_atom_site_fract_z
Be1 0.0000 0.0000 0.0000
Cu1 0.0000 0.0000 0.2281


(8)
# KRbZnHg2 | Alexandria via LeMat-Bulk | PBE | optimized geometry
# Polymorph energy (0 for the lowest one)   0.033 eV/atom
# E_form   0 kJ per mole of atoms
# Total energy   -0.7853 eV/atom
# Crystal system   tetragonal
data_KRbZnHg2
_cell_length_a 5.597
_cell_length_b 5.597
_cell_length_c 6.181
_cell_angle_alpha 90.00
_cell_angle_beta 90.00
_cell_angle_gamma 90.00
_symmetry_space_group_name_H-M 'P 4/m m m'
_symmetry_Int_Tables_number 123
_symmetry_space_group_name_Hall '-P 4 2'
loop_
_atom_site_label
_atom_site_fract_x
_atom_site_fract_y
_atom_site_fract_z
K1 0.000 0.000 0.000
Rb1 0.500 0.500 0.000
Zn1 0.500 0.500 0.500
Hg1 0.000 0.500 0.500